Below is a relaxed RbTaBe crystal, with properties calculated at the PBE level.

Geometry as POSCAR:
```
RbTaBe
1.0
-10.746 -4.038 0.533
1.341 -3.397 1.306
-0.370 1.644 4.656
Be Rb Ta
2 2 2
Cartesian
-6.832 -1.673 2.666
-6.648 -2.460 0.429
-8.541 -4.710 2.281
-3.061 0.203 3.672
-5.015 -3.370 2.145
-5.391 -2.620 4.483
```

Offset from the most stable computed form = 32.0 kJ/mol of atoms
E_tot = -4.733 eV per atom
Crystal system = monoclinic
Total magnetic moment = 0.00 μB/f.u.
E_form = 0.7824 eV/atom